# NbCuS2

A relaxed NbCuS2 crystal (PBE, Alexandria).

Values from the calculation:
energy	-5.78	eV/atom
Fermi-level density of states	16.77	states/eV/cell

Cell: 6.182 6.182 6.182 Å, 90.00 90.00 90.00°
Space group Fm-3m (No. 225)
One atom of each set of equivalent atoms:
Nb 0.000 0.000 0.000 [4 per cell]
Cu 0.000 0.000 0.500 [4 per cell]
S 0.250 0.250 0.250 [8 per cell]